DFT (PBE-GGA) results for an optimized crystal structure of Mn2CdIr.

Results
As for the crystal system: tetragonal. For the density of states at the Fermi level, the calculation gives 0.650 states/eV/atom. As for the energy of formation from the pure elements: 0.127 eV per atom.

a b c (Å): 2.845 2.845 7.493
angles (deg): 90.00 90.00 90.00
Each line ends with the local moment (μB).
Positions (direct):
Mn: 0.500 0.500 0.214  3.33
Mn: 0.000 0.000 0.993  1.91
Cd: 0.000 0.000 0.502  -0.03
Ir: 0.500 0.500 0.792  -0.04